DFT (GGA-PBE) results for crystalline LiMg3Zn6 at its relaxed geometry.

a b c (Å): 4.3679 7.3591 12.1136
angles (deg): 117.66 90.00 90.00
Element x y z (fractional)
Zn 0.2500 0.4677 0.6142
Li 0.2500 0.2801 0.3403
Zn 0.7500 0.5806 0.0610
Zn 0.7500 0.2892 0.5078
Zn 0.2500 0.4194 0.9390
Mg 0.2500 0.0925 0.7036
Zn 0.2500 0.7843 0.8273
Mg 0.2500 0.8501 0.1106
Zn 0.7500 0.8601 0.9668
Mg 0.7500 0.4547 0.7806
Zn 0.7500 0.2157 0.1727
Zn 0.2500 0.0517 0.4559
Mg 0.7500 0.9075 0.2964
Li 0.7500 0.7199 0.6597
Mg 0.7500 0.1499 0.8894
Mg 0.2500 0.5453 0.2194
Zn 0.7500 0.9483 0.5441
Zn 0.2500 0.1399 0.0332
Zn 0.7500 0.5323 0.3858
Zn 0.2500 0.7108 0.4922

Properties
Space-group type = P2_1/m, No. 11
Crystal system = monoclinic
Formation energy = -0.084 eV per atom
E = -1.518 eV/atom